The following is a DFT calculation (PBE) of an optimized crystal structure of LiTiHgS2.

Cell lengths 4.6536, 4.6536, 5.9833 Å; angles 90.00, 90.00, 90.00 degrees
Last column: nearest neighbours and their distance in Å.
Space group P4/mmm (No. 123)
Asymmetric unit:
Li  0.0000  0.0000  0.0000 [1 per cell]  2 Ti 2.99, 4 Hg 3.29
Ti  0.0000  0.0000  0.5000 [1 per cell]  4 S 2.33
Hg  0.5000  0.5000  0.0000 [1 per cell]  4 Li 3.29
S  0.0000  0.5000  0.5000 [2 per cell]  2 Ti 2.33

Computed properties:
- E (eV/cell) = -20.1
- calculated density (Mg/m³) = 4.09
- E_form (uncorrected) (eV/atom) = -0.342
- DOS(E_F) (states/eV/atom) = 0.666